(1)
The following is a PBE-GGA calculation of an optimized crystal structure of HfAl2Co2, from Alexandria via LeMat-Bulk.

Cell lengths 7.059, 7.059, 2.817 Å; angles 90.00, 90.00, 90.00 degrees
Positions (direct):
Co 0.350 0.850 0.000
Co 0.850 0.650 0.000
Co 0.650 0.150 0.000
Co 0.150 0.350 0.000
Hf 0.000 0.000 0.000
Hf 0.500 0.500 0.000
Al 0.144 0.644 0.500
Al 0.644 0.856 0.500
Al 0.856 0.356 0.500
Al 0.356 0.144 0.500

Crystal system ... tetragonal
Formation energy from the elements ... -0.416 eV per atom
Final energy ... -6.7463 eV per atom

(2)
The following is a PBE-GGA calculation of an optimized crystal structure of Pm3Sm5Tm4, from Alexandria via LeMat-Bulk.

Cell lengths 5.937, 8.606, 9.689 Å; angles 106.16, 72.16, 69.82 degrees
Positions (direct):
Pm 0.520 0.688 0.272
Pm 0.000 0.500 0.500
Pm 0.480 0.312 0.728
Sm 0.623 0.953 0.801
Sm 0.500 0.500 0.500
Sm 0.213 0.460 0.113
Sm 0.787 0.540 0.887
Sm 0.377 0.047 0.199
Tm 0.860 0.221 0.059
Tm 0.165 0.047 0.624
Tm 0.835 0.953 0.376
Tm 0.140 0.779 0.941

Crystal system ... monoclinic
Formation energy from the elements ... 0.230 eV per atom
Final energy ... -4.4143 eV per atom

(3)
The following is a PBE-GGA calculation of an optimized crystal structure of Pm3Cu2RhO9, from Alexandria via LeMat-Bulk.

Cell lengths 5.441, 5.441, 6.967 Å; angles 90.00, 90.00, 120.00 degrees
Positions (direct):
Pm 0.333 0.667 0.721
Pm 0.000 0.000 0.000
Pm 0.667 0.333 0.279
Cu 0.333 0.667 0.172
Cu 0.667 0.333 0.828
Rh 0.000 0.000 0.500
O 0.843 0.157 0.690
O 0.843 0.685 0.690
O 0.315 0.157 0.690
O 0.685 0.843 0.310
O 0.157 0.315 0.310
O 0.157 0.843 0.310
O 0.500 0.000 0.000
O 0.000 0.500 0.000
O 0.500 0.500 0.000

Crystal system ... trigonal
Raw formation energy ... -1.841 eV per atom
Final energy ... -6.8020 eV per atom

(4)
The following is a PBE-GGA calculation of an optimized crystal structure of NiMoSe2Br, from Alexandria via LeMat-Bulk.

Cell lengths 4.835, 4.835, 5.415 Å; angles 90.00, 90.00, 90.00 degrees
Positions (direct):
Ni 0.500 0.500 0.500
Mo 0.000 0.000 0.000
Se 0.000 0.500 0.000
Se 0.500 0.000 0.000
Br 0.000 0.000 0.500

Crystal system ... tetragonal
Raw formation energy ... 0.665 eV per atom
Final energy ... -4.3863 eV per atom

(5)
The following is a PBE-GGA calculation of an optimized crystal structure of K2LaTe, from Alexandria via LeMat-Bulk.

Cell lengths 4.886, 4.886, 6.728 Å; angles 90.00, 90.00, 90.00 degrees
Positions (direct):
K 0.000 0.000 0.972
K 0.000 0.000 0.528
La 0.500 0.500 0.250
Te 0.500 0.500 0.750

Crystal system ... tetragonal
Raw formation energy ... -0.336 eV per atom
Final energy ... -2.9017 eV per atom

(6)
The following is a PBE-GGA calculation of an optimized crystal structure of ScAs3S, from Alexandria via LeMat-Bulk.

Cell lengths 4.765, 4.765, 4.765 Å; angles 90.00, 90.00, 90.00 degrees
Positions (direct):
Sc 0.500 0.500 0.500
As 0.000 0.500 0.000
As 0.000 0.000 0.500
As 0.500 0.000 0.000
S 0.000 0.000 0.000

Crystal system ... cubic
Raw formation energy ... 0.222 eV per atom
Final energy ... -4.6593 eV per atom